{"formula": "HfNbGaMo", "functional": "PBE", "state": "relaxed", "lattice": [[-2.920, 2.175, 2.872], [-2.619, -2.452, 2.938], [0.884, 0.122, 4.551]], "species": ["Nb", "Hf", "Mo", "Ga"], "frac_coords": [[0.500, 0.500, 0.500], [0.000, 0.000, 0.000], [0.750, 0.750, 0.750], [0.250, 0.250, 0.250]], "formation_enthalpy_0k_ev_per_atom": -0.1942, "vol_a3_per_cell": 70.5}